Entry 1:
SbIr2Se | PBE | relaxed

Symmetry   I-4m2
Formation energy (no corrections)   1.8 eV per formula unit
Theoretical density   14113 kg/m³

The structure in extended XYZ format:
```
4
Lattice="5.284 0.014 0.000 2.377 4.719 0.000 -3.830 -2.367 2.765" Properties=species:S:1:pos:R:3 pbc="T T T"
Ir 1.188 2.359 1.383
Se 2.642 0.007 1.383
Ir 0.000 0.000 0.000
Sb 3.830 2.367 0.000
```



Entry 2:
SbIrSe2 | PBE | relaxed

Symmetry   Cmmm
Formation energy (no corrections)   -0.3 eV per formula unit
Theoretical density   9276 kg/m³

The structure in extended XYZ format:
```
4
Lattice="3.631 0.000 0.000 0.000 5.086 0.010 0.000 2.217 4.578" Properties=species:S:1:pos:R:3 pbc="T T T"
Ir 1.816 1.826 1.147
Se 0.000 3.290 2.067
Sb 1.816 5.477 3.441
Se 0.000 0.361 0.227
```



Entry 3:
SbIr2Se | PBE | relaxed

Symmetry   Immm
Formation energy (no corrections)   2.0 eV per formula unit
Theoretical density   13841 kg/m³

The structure in extended XYZ format:
```
4
Lattice="5.480 0.014 0.001 2.264 4.991 -0.001 -3.072 -3.740 2.570" Properties=species:S:1:pos:R:3 pbc="T T T"
Ir 7.694 4.973 0.000
Se 3.140 -0.612 1.285
Ir 3.921 2.534 0.000
Sb 1.532 1.877 1.285
```



Entry 4:
SbIrSe2 | PBE | relaxed

Symmetry   P4/mmm
Formation energy (no corrections)   1.9 eV per formula unit
Theoretical density   10155 kg/m³

The structure in extended XYZ format:
```
4
Lattice="-4.557 -0.068 1.451 1.372 -1.764 4.229 0.335 3.135 1.199" Properties=species:S:1:pos:R:3 pbc="T T T"
Sb 0.853 0.685 2.714
Se -1.593 -0.916 2.840
Se 0.000 0.000 0.000
Ir -2.111 1.533 1.325
```